Entry 1:
A geometry-optimized K2PdPt3Se6 structure. Source: the Open Quantum Materials Database, functional PBE-GGA.

The structure in CIF format:
```
data_K2PdPt3Se6
_cell_length_a 7.815
_cell_length_b 7.815
_cell_length_c 7.815
_cell_angle_alpha 57.71
_cell_angle_beta 57.71
_cell_angle_gamma 57.71
_space_group_name_H-M_alt 'P 1'
_space_group_IT_number 1
_space_group_name_Hall 'P 1'
loop_
_atom_site_label
_atom_site_type_symbol
_atom_site_fract_x
_atom_site_fract_y
_atom_site_fract_z
K1 K 0.199 0.199 0.199
K2 K 0.801 0.801 0.801
Pd1 Pd 0.000 0.000 0.000
Pt1 Pt 0.000 0.500 0.500
Pt2 Pt 0.500 0.000 0.500
Pt3 Pt 0.500 0.500 0.000
Se1 Se 0.235 0.235 0.720
Se2 Se 0.235 0.720 0.235
Se3 Se 0.280 0.765 0.765
Se4 Se 0.720 0.235 0.235
Se5 Se 0.765 0.280 0.765
Se6 Se 0.765 0.765 0.280
```

Calculated values
- Space group: R-3m
- Size of the total moment: 0.0 μB/f.u.
- Volume: 26.64 Å³/atom
- Raw total energy: -53.9 eV per formula unit

Entry 2:
A geometry-optimized K2Tl4PdPt structure. Source: the Open Quantum Materials Database, functional PBE-GGA.

The structure in CIF format:
```
data_K2Tl4PdPt
_cell_length_a 8.377
_cell_length_b 4.520
_cell_length_c 11.974
_cell_angle_alpha 90.00
_cell_angle_beta 90.00
_cell_angle_gamma 90.00
_space_group_name_H-M_alt 'P 1'
_space_group_IT_number 1
_space_group_name_Hall 'P 1'
loop_
_atom_site_label
_atom_site_type_symbol
_atom_site_fract_x
_atom_site_fract_y
_atom_site_fract_z
K1 K 0.000 0.000 0.000
K2 K 0.000 0.500 0.500
K3 K 0.500 0.000 0.117
K4 K 0.500 0.500 0.617
Tl1 Tl 0.199 0.000 0.711
Tl2 Tl 0.199 0.500 0.211
Tl3 Tl 0.301 0.000 0.404
Tl4 Tl 0.301 0.500 0.904
Tl5 Tl 0.699 0.000 0.404
Tl6 Tl 0.699 0.500 0.904
Tl7 Tl 0.801 0.000 0.711
Tl8 Tl 0.801 0.500 0.211
Pd1 Pd 0.000 0.000 0.276
Pd2 Pd 0.000 0.500 0.776
Pt1 Pt 0.500 0.000 0.840
Pt2 Pt 0.500 0.500 0.340
```

Calculated values
- Space group: Amm2
- Size of the total moment: 0.0 μB/f.u.
- Volume: 28.34 Å³/atom
- Raw total energy: -24.3 eV per formula unit

Entry 3:
A geometry-optimized KRbPdS2 structure. Source: the Open Quantum Materials Database, functional PBE-GGA.

The structure in CIF format:
```
data_KRbPdS2
_cell_length_a 3.679
_cell_length_b 7.264
_cell_length_c 9.741
_cell_angle_alpha 90.00
_cell_angle_beta 90.00
_cell_angle_gamma 90.00
_space_group_name_H-M_alt 'P 1'
_space_group_IT_number 1
_space_group_name_Hall 'P 1'
loop_
_atom_site_label
_atom_site_type_symbol
_atom_site_fract_x
_atom_site_fract_y
_atom_site_fract_z
K1 K 0.000 0.000 0.000
K2 K 0.500 0.500 0.500
Rb1 Rb 0.000 0.000 0.381
Rb2 Rb 0.500 0.500 0.881
Pd1 Pd 0.000 0.500 0.193
Pd2 Pd 0.500 0.000 0.693
S1 S 0.000 0.212 0.692
S2 S 0.000 0.788 0.692
S3 S 0.500 0.288 0.192
S4 S 0.500 0.712 0.192
```

Calculated values
- Space group: Imm2
- Volume: 26.03 Å³/atom
- Raw total energy: -19.9 eV per formula unit